[1]
! PBE-GGA K3AlGa4, relaxed; values from VASP
! Crystal system   triclinic
! Space-group type   No. 2
! Density of states at the Fermi level   0.10 states/eV/atom
! VASP energy   -2.417 eV per atom
! Calculated formation energy   -0.02 eV per atom
&SYSTEM
  ibrav = 0, nat = 8, ntyp = 3
/
ATOMIC_SPECIES
K 39.10 K.upf
Al 26.98 Al.upf
Ga 69.72 Ga.upf
CELL_PARAMETERS angstrom
6.6415 0.0000 0.0000
-2.5656 6.1734 0.0000
-0.1027 -3.3203 6.0308
ATOMIC_POSITIONS angstrom
K 0.0000 0.0000 0.0000
K 0.5097 4.1238 0.9680
K 3.4635 -1.2707 5.0628
Al 1.9866 1.4266 3.0154
Ga 0.1187 -0.4743 3.5093
Ga -0.4242 2.1475 3.5963
Ga 4.3973 0.7057 2.4345
Ga 3.8545 3.3274 2.5215



[2]
! PBE-GGA K3Al3Ga8, relaxed; values from VASP
! Crystal system   orthorhombic
! Space-group type   No. 71
! Density of states at the Fermi level   0.38 states/eV/atom
! VASP energy   -2.809 eV per atom
! Calculated formation energy   -0.04 eV per atom
&SYSTEM
  ibrav = 0, nat = 14, ntyp = 3
/
ATOMIC_SPECIES
K 39.10 K.upf
Al 26.98 Al.upf
Ga 69.72 Ga.upf
CELL_PARAMETERS angstrom
-2.2230 5.7525 6.4406
2.2230 -5.7525 6.4406
2.2230 5.7525 -6.4406
ATOMIC_POSITIONS angstrom
K 0.0000 0.0000 0.0000
K 0.0000 0.0000 3.4960
K 0.0000 0.0000 9.3852
Al 2.2230 4.0167 0.0000
Al 0.0000 5.7525 0.0000
Al 0.0000 1.7357 6.4406
Ga 2.2230 2.0786 -2.0522
Ga 2.2230 -2.2891 4.8131
Ga 2.2230 2.0786 2.0522
Ga 0.0000 3.4634 1.6275
Ga 2.2230 2.2891 4.8131
Ga 0.0000 3.6739 4.3884
Ga 0.0000 8.0415 1.6275
Ga 0.0000 3.6739 8.4928



[3]
! PBE-GGA KAlGa4, relaxed; values from VASP
! Crystal system   orthorhombic
! Space-group type   No. 65
! Density of states at the Fermi level   0.22 states/eV/atom
! VASP energy   -2.882 eV per atom
! Calculated formation energy   -0.06 eV per atom
&SYSTEM
  ibrav = 0, nat = 12, ntyp = 3
/
ATOMIC_SPECIES
K 39.10 K.upf
Al 26.98 Al.upf
Ga 69.72 Ga.upf
CELL_PARAMETERS angstrom
5.1709 -6.7607 0.0000
5.1709 6.7607 0.0000
0.0000 0.0000 3.8686
ATOMIC_POSITIONS angstrom
K 5.1709 4.0536 0.0000
K 5.1709 -4.0536 0.0000
Al 3.4145 0.0000 0.0000
Al 6.9273 0.0000 0.0000
Ga 2.8217 2.0987 1.9343
Ga 1.3046 0.0000 1.9343
Ga 5.1709 1.2517 1.9343
Ga 2.8217 -2.0987 1.9343
Ga 7.5201 2.0987 1.9343
Ga 5.1709 -1.2517 1.9343
Ga 9.0372 0.0000 1.9343
Ga 7.5201 -2.0987 1.9343



[4]
! PBE-GGA KAl3Ga3, relaxed; values from VASP
! Crystal system   cubic
! Space-group type   No. 223
! Polymorph energy (0 for the lowest one)   0.091 eV/atom
! Density of states at the Fermi level   0.67 states/eV/atom
! VASP energy   -2.882 eV per atom
! Calculated formation energy   0.18 eV per atom
&SYSTEM
  ibrav = 0, nat = 14, ntyp = 3
/
ATOMIC_SPECIES
K 39.10 K.upf
Al 26.98 Al.upf
Ga 69.72 Ga.upf
CELL_PARAMETERS angstrom
7.2593 0.0000 0.0000
0.0000 7.2593 0.0000
0.0000 0.0000 7.2593
ATOMIC_POSITIONS angstrom
K 0.0000 0.0000 0.0000
K 3.6297 3.6297 3.6297
Al 0.0000 1.8148 3.6297
Al 0.0000 5.4445 3.6297
Al 1.8148 3.6297 0.0000
Al 3.6297 0.0000 1.8148
Al 3.6297 0.0000 5.4445
Al 5.4445 3.6297 0.0000
Ga 0.0000 3.6297 1.8148
Ga 0.0000 3.6297 5.4445
Ga 1.8148 0.0000 3.6297
Ga 3.6297 1.8148 0.0000
Ga 3.6297 5.4445 0.0000
Ga 5.4445 0.0000 3.6297



[5]
! PBE-GGA KAl3Ga4, relaxed; values from VASP
! Crystal system   tetragonal
! Space-group type   No. 123
! Density of states at the Fermi level   0.20 states/eV/atom
! VASP energy   -3.086 eV per atom
! Calculated formation energy   -0.03 eV per atom
&SYSTEM
  ibrav = 0, nat = 8, ntyp = 3
/
ATOMIC_SPECIES
K 39.10 K.upf
Al 26.98 Al.upf
Ga 69.72 Ga.upf
CELL_PARAMETERS angstrom
4.6397 0.0000 0.0000
0.0000 4.6397 0.0000
0.0000 0.0000 8.1165
ATOMIC_POSITIONS angstrom
K 0.0000 0.0000 0.0000
Al 0.0000 0.0000 4.0582
Al 2.3198 2.3198 1.3276
Al 2.3198 2.3198 6.7889
Ga 0.0000 2.3198 2.6541
Ga 0.0000 2.3198 5.4623
Ga 2.3198 0.0000 2.6541
Ga 2.3198 0.0000 5.4623



[6]
! PBE-GGA KAlGa, relaxed; values from VASP
! Crystal system   tetragonal
! Space-group type   No. 107
! Polymorph energy (0 for the lowest one)   0.190 eV/atom
! Density of states at the Fermi level   0.52 states/eV/atom
! VASP energy   -2.484 eV per atom
! Calculated formation energy   0.14 eV per atom
&SYSTEM
  ibrav = 0, nat = 3, ntyp = 3
/
ATOMIC_SPECIES
K 39.10 K.upf
Al 26.98 Al.upf
Ga 69.72 Ga.upf
CELL_PARAMETERS angstrom
-1.7950 1.7950 6.4177
1.7950 -1.7950 6.4177
1.7950 1.7950 -6.4177
ATOMIC_POSITIONS angstrom
K 0.0000 0.0000 0.0000
Al 0.0000 0.0000 3.7173
Ga 0.0000 0.0000 9.0764



[7]
! PBE-GGA KAlGa3, relaxed; values from VASP
! Crystal system   cubic
! Space-group type   No. 221
! Polymorph energy (0 for the lowest one)   1.031 eV/atom
! Density of states at the Fermi level   0.88 states/eV/atom
! VASP energy   -1.582 eV per atom
! Calculated formation energy   1.20 eV per atom
&SYSTEM
  ibrav = 0, nat = 5, ntyp = 3
/
ATOMIC_SPECIES
K 39.10 K.upf
Al 26.98 Al.upf
Ga 69.72 Ga.upf
CELL_PARAMETERS angstrom
5.7005 0.0000 0.0000
0.0000 5.7005 0.0000
0.0000 0.0000 5.7005
ATOMIC_POSITIONS angstrom
K 0.0000 0.0000 0.0000
Al 2.8503 2.8503 2.8503
Ga 0.0000 0.0000 2.8503
Ga 0.0000 2.8503 0.0000
Ga 2.8503 0.0000 0.0000



[8]
! PBE-GGA KAl2Ga, relaxed; values from VASP
! Crystal system   tetragonal
! Space-group type   No. 141
! Density of states at the Fermi level   0.16 states/eV/atom
! VASP energy   -2.662 eV per atom
! Calculated formation energy   0.24 eV per atom
&SYSTEM
  ibrav = 0, nat = 8, ntyp = 3
/
ATOMIC_SPECIES
K 39.10 K.upf
Al 26.98 Al.upf
Ga 69.72 Ga.upf
CELL_PARAMETERS angstrom
-2.6760 2.6760 8.8052
2.6760 -2.6760 8.8052
2.6760 2.6760 -8.8052
ATOMIC_POSITIONS angstrom
K 2.6760 1.3380 2.2013
K 0.0000 1.3380 6.6039
Al 0.0000 0.0000 0.0000
Al 1.3380 1.3380 -4.4026
Al 1.3380 -1.3380 4.4026
Al 0.0000 2.6760 0.0000
Ga 2.6760 -1.3380 6.6039
Ga 0.0000 4.0140 2.2013